#P
This record from Alexandria describes a geometry-optimized Pr2SeF4 structure. The functional is GGA-PBE.

Structure (POSCAR):
```
Pr2SeF4
1.0
7.608 0.000 0.000
0.000 7.608 0.000
0.000 0.000 3.960
Pr Se F
4 2 8
Direct
0.221 0.221 0.000
0.279 0.721 0.500
0.721 0.279 0.500
0.779 0.779 0.000
0.000 0.000 0.500
0.500 0.500 0.000
0.088 0.671 0.000
0.171 0.412 0.500
0.329 0.912 0.000
0.412 0.171 0.500
0.588 0.829 0.500
0.671 0.088 0.000
0.829 0.588 0.500
0.912 0.329 0.000
```

Results
Volume = 229.2 Å³/cell



#Q
This record from Alexandria describes a geometry-optimized Pr2SeF4 structure. The functional is GGA-PBE.

Structure (POSCAR):
```
Pr2SeF4
1.0
2.079 1.200 7.733
-2.079 1.200 7.733
0.000 -2.401 7.733
Pr Se F
2 1 4
Direct
0.243 0.243 0.243
0.757 0.757 0.757
0.000 0.000 0.000
0.139 0.139 0.139
0.430 0.430 0.430
0.570 0.570 0.570
0.861 0.861 0.861
```

Results
Volume = 115.8 Å³/cell



Most stable structure, least stable structure: #Q, #P.



#P
This record from Alexandria describes a geometry-optimized PrSnF structure. The functional is GGA-PBE.

Structure (POSCAR):
```
PrSnF
1.0
-1.718 1.718 6.040
1.718 -1.718 6.040
1.718 1.718 -6.040
Pr Sn F
1 1 1
Direct
0.000 0.000 0.000
0.286 0.286 0.000
0.552 0.552 0.000
```

Results
Volume = 71.3 Å³/cell



#Q
This record from Alexandria describes a geometry-optimized PrSnF structure. The functional is GGA-PBE.

Structure (POSCAR):
```
PrSnF
1.0
1.752 -10.916 0.000
1.752 10.916 0.000
0.000 0.000 4.102
Pr Sn F
2 2 2
Direct
0.173 0.827 0.750
0.827 0.173 0.250
0.451 0.549 0.250
0.549 0.451 0.750
0.231 0.769 0.250
0.769 0.231 0.750
```

Results
Volume = 156.9 Å³/cell



#R
This record from Alexandria describes a geometry-optimized PrSnF structure. The functional is GGA-PBE.

Structure (POSCAR):
```
PrSnF
1.0
4.058 0.000 0.000
-2.029 3.515 0.000
0.000 0.000 5.337
Pr Sn F
1 1 1
Direct
0.000 0.000 0.000
0.333 0.667 0.500
0.667 0.333 0.000
```

Results
Volume = 76.1 Å³/cell



Most stable structure, least stable structure: #R, #Q.



#P
This record from Alexandria describes a geometry-optimized Sr2PrF8 structure. The functional is GGA-PBE.

Structure (POSCAR):
```
Sr2PrF8
1.0
7.242 -2.065 0.000
7.242 2.065 0.000
-2.182 0.000 5.477
Sr Pr F
2 1 8
Direct
0.174 0.174 0.189
0.826 0.826 0.811
0.500 0.500 0.500
0.020 0.020 0.300
0.220 0.220 0.819
0.341 0.341 0.539
0.400 0.400 0.072
0.600 0.600 0.928
0.659 0.659 0.461
0.780 0.780 0.181
0.980 0.980 0.700
```

Results
Volume = 163.8 Å³/cell



#Q
This record from Alexandria describes a geometry-optimized Sr2PrF8 structure. The functional is GGA-PBE.

Structure (POSCAR):
```
Sr2PrF8
1.0
-2.053 3.106 6.135
2.053 -3.106 6.135
2.053 3.106 -6.135
Sr Pr F
2 1 8
Direct
0.185 0.185 0.000
0.815 0.815 0.000
0.500 0.500 0.000
0.083 0.344 0.739
0.171 0.000 0.171
0.387 0.887 0.500
0.396 0.656 0.739
0.604 0.344 0.261
0.613 0.113 0.500
0.829 0.000 0.829
0.917 0.656 0.261
```

Results
Volume = 156.5 Å³/cell



Most stable structure, least stable structure: #P, #Q.



#P
This record from Alexandria describes a geometry-optimized Pr2Te2F structure. The functional is GGA-PBE.

Structure (POSCAR):
```
Pr2Te2F
1.0
10.452 -2.263 0.000
10.452 2.263 0.000
-0.835 0.000 7.933
Pr Te F
4 4 2
Direct
0.166 0.166 0.413
0.327 0.327 0.121
0.673 0.673 0.879
0.834 0.834 0.587
0.087 0.087 0.715
0.400 0.400 0.802
0.600 0.600 0.198
0.913 0.913 0.285
0.279 0.279 0.412
0.721 0.721 0.588
```

Results
Volume = 375.4 Å³/cell



#Q
This record from Alexandria describes a geometry-optimized Pr2Te2F structure. The functional is GGA-PBE.

Structure (POSCAR):
```
Pr2Te2F
1.0
-2.162 2.162 17.310
2.162 -2.162 17.310
2.162 2.162 -17.310
Pr Te F
4 4 2
Direct
0.089 0.339 0.750
0.339 0.089 0.250
0.661 0.911 0.750
0.911 0.661 0.250
0.193 0.443 0.750
0.443 0.193 0.250
0.557 0.807 0.750
0.807 0.557 0.250
0.125 0.875 0.250
0.875 0.125 0.750
```

Results
Volume = 323.8 Å³/cell



Most stable structure, least stable structure: #Q, #P.



#P
This record from Alexandria describes a geometry-optimized PrTlF structure. The functional is GGA-PBE.

Structure (POSCAR):
```
PrTlF
1.0
-1.741 1.741 6.160
1.741 -1.741 6.160
1.741 1.741 -6.160
Pr Tl F
1 1 1
Direct
0.000 0.000 0.000
0.277 0.277 0.000
0.540 0.540 0.000
```

Results
Volume = 74.7 Å³/cell



#Q
This record from Alexandria describes a geometry-optimized PrTlF structure. The functional is GGA-PBE.

Structure (POSCAR):
```
PrTlF
1.0
4.078 0.000 0.000
-2.039 3.531 0.000
0.000 0.000 21.824
Pr Tl F
4 4 4
Direct
0.333 0.667 0.124
0.333 0.667 0.376
0.667 0.333 0.624
0.667 0.333 0.876
0.000 0.000 0.000
0.000 0.000 0.250
0.000 0.000 0.500
0.000 0.000 0.750
0.333 0.667 0.627
0.333 0.667 0.873
0.667 0.333 0.127
0.667 0.333 0.373
```

Results
Volume = 314.3 Å³/cell



Most stable structure, least stable structure: #Q, #P.



#P
This record from Alexandria describes a geometry-optimized Pr2TlF structure. The functional is GGA-PBE.

Structure (POSCAR):
```
Pr2TlF
1.0
1.939 1.119 7.881
-1.939 1.119 7.881
0.000 -2.239 7.881
Pr Tl F
2 1 1
Direct
0.228 0.228 0.228
0.772 0.772 0.772
0.000 0.000 0.000
0.500 0.500 0.500
```

Results
Volume = 102.6 Å³/cell



#Q
This record from Alexandria describes a geometry-optimized Pr2TlF structure. The functional is GGA-PBE.

Structure (POSCAR):
```
Pr2TlF
1.0
3.454 0.000 0.000
0.000 3.454 0.000
0.000 0.000 8.118
Pr Tl F
2 1 1
Direct
0.000 0.000 0.226
0.000 0.000 0.774
0.500 0.500 0.500
0.500 0.500 0.000
```

Results
Volume = 96.8 Å³/cell



Most stable structure, least stable structure: #P, #Q.



#P
This record from Alexandria describes a geometry-optimized PrTlF4 structure. The functional is GGA-PBE.

Structure (POSCAR):
```
PrTlF4
1.0
-3.112 3.112 5.678
3.112 -3.112 5.678
3.112 3.112 -5.678
Pr Tl F
2 2 8
Direct
0.375 0.625 0.750
0.625 0.375 0.250
0.125 0.875 0.250
0.875 0.125 0.750
0.000 0.299 0.299
0.000 0.701 0.701
0.299 0.000 0.799
0.299 0.500 0.299
0.500 0.299 0.799
0.500 0.701 0.201
0.701 0.000 0.201
0.701 0.500 0.701
```

Results
Volume = 220.0 Å³/cell



#Q
This record from Alexandria describes a geometry-optimized PrTlF4 structure. The functional is GGA-PBE.

Structure (POSCAR):
```
PrTlF4
1.0
6.391 0.000 0.000
0.000 3.822 0.000
0.000 0.000 16.769
Pr Tl F
4 4 16
Direct
0.247 0.250 0.057
0.253 0.750 0.557
0.747 0.250 0.443
0.753 0.750 0.943
0.212 0.750 0.298
0.288 0.250 0.798
0.712 0.750 0.202
0.788 0.250 0.702
0.004 0.750 0.445
0.090 0.750 0.682
0.108 0.750 0.127
0.133 0.750 0.967
0.367 0.250 0.467
0.392 0.250 0.627
0.410 0.250 0.182
0.496 0.250 0.945
0.504 0.750 0.055
0.590 0.750 0.818
0.608 0.750 0.373
0.633 0.750 0.533
0.867 0.250 0.033
0.892 0.250 0.873
0.910 0.250 0.318
0.996 0.250 0.555
```

Results
Volume = 409.6 Å³/cell



Most stable structure, least stable structure: #Q, #P.



#P
This record from Alexandria describes a geometry-optimized Pr2ZnF structure. The functional is GGA-PBE.

Structure (POSCAR):
```
Pr2ZnF
1.0
1.987 1.147 6.890
-1.987 1.147 6.890
0.000 -2.294 6.890
Pr Zn F
2 1 1
Direct
0.238 0.238 0.238
0.762 0.762 0.762
0.000 0.000 0.000
0.500 0.500 0.500
```

Results
Volume = 94.2 Å³/cell



#Q
This record from Alexandria describes a geometry-optimized Pr2ZnF structure. The functional is GGA-PBE.

Structure (POSCAR):
```
Pr2ZnF
1.0
3.350 0.000 0.000
0.000 3.350 0.000
0.000 0.000 7.841
Pr Zn F
2 1 1
Direct
0.000 0.000 0.241
0.000 0.000 0.759
0.500 0.500 0.500
0.500 0.500 0.000
```

Results
Volume = 88.0 Å³/cell



Most stable structure, least stable structure: #P, #Q.



#P
This record from Alexandria describes a geometry-optimized PtF structure. The functional is GGA-PBE.

Structure (POSCAR):
```
PtF
1.0
4.098 0.000 0.000
0.000 1.383 2.412
0.000 -1.383 2.412
Pt F
1 1
Direct
0.000 0.000 0.000
0.500 0.039 0.039
```

Results
Volume = 27.3 Å³/cell



#Q
This record from Alexandria describes a geometry-optimized PtF structure. The functional is GGA-PBE.

Structure (POSCAR):
```
PtF
1.0
6.552 0.000 0.000
0.000 6.552 0.000
0.000 0.000 6.552
Pt F
6 6
Direct
0.000 0.250 0.500
0.000 0.750 0.500
0.250 0.500 0.000
0.500 0.000 0.250
0.500 0.000 0.750
0.750 0.500 0.000
0.000 0.500 0.250
0.000 0.500 0.750
0.250 0.000 0.500
0.500 0.250 0.000
0.500 0.750 0.000
0.750 0.000 0.500
```

Results
Volume = 281.3 Å³/cell



#R
This record from Alexandria describes a geometry-optimized PtF structure. The functional is GGA-PBE.

Structure (POSCAR):
```
PtF
1.0
8.519 0.000 0.000
0.000 8.519 0.000
0.000 0.000 2.735
Pt F
4 4
Direct
0.098 0.098 0.000
0.402 0.598 0.500
0.598 0.402 0.500
0.902 0.902 0.000
0.229 0.229 0.500
0.271 0.729 0.000
0.729 0.271 0.000
0.771 0.771 0.500
```

Results
Volume = 198.5 Å³/cell



#S
This record from Alexandria describes a geometry-optimized PtF structure. The functional is GGA-PBE.

Structure (POSCAR):
```
PtF
1.0
2.757 0.000 0.000
-1.378 2.387 0.000
0.000 0.000 8.252
Pt F
2 2
Direct
0.333 0.667 0.000
0.667 0.333 0.500
0.333 0.667 0.756
0.667 0.333 0.256
```

Results
Volume = 54.3 Å³/cell



Most stable structure, least stable structure: #P, #Q.